Computed, not measured: a geometry-optimized CaCu6Si3 structure at the PBE level of DFT.

Cell lengths 6.330, 7.379, 6.436 Å; angles 109.35, 90.00, 90.00 degrees
Sites, in units of the cell vectors:
Ca: 0.500 0.500 0.500
Ca: 0.000 0.000 0.000
Cu: 0.801 0.376 0.126
Cu: 0.964 0.326 0.475
Cu: 0.693 0.240 0.717
Cu: 0.307 0.760 0.283
Cu: 0.036 0.674 0.525
Cu: 0.199 0.624 0.874
Cu: 0.699 0.876 0.626
Cu: 0.536 0.826 0.975
Cu: 0.807 0.740 0.217
Cu: 0.193 0.260 0.783
Cu: 0.464 0.174 0.025
Cu: 0.301 0.124 0.374
Si: 0.162 0.411 0.187
Si: 0.500 0.500 0.000
Si: 0.838 0.589 0.813
Si: 0.338 0.911 0.687
Si: 0.000 0.000 0.500
Si: 0.662 0.089 0.313

Values from the calculation:
symmetry: P2_1/c (14)
ΔE_f (raw): -0.108 eV/atom